# 1
A geometry-optimized TaSn2Sb structure. Source: the Alexandria database, functional PBE.

abc: 6.5644 6.5644 13.1033
angles: 90.00 90.00 90.00
Fractional coordinates of all 16 atoms:
Ta  0.0000  0.0000  0.0000
Ta  0.0000  0.5000  0.2500
Ta  0.5000  0.0000  0.7500
Ta  0.5000  0.5000  0.5000
Sn  0.2246  0.2500  0.1250
Sn  0.2500  0.7246  0.3750
Sn  0.2500  0.7754  0.8750
Sn  0.2754  0.2500  0.6250
Sn  0.7246  0.7500  0.6250
Sn  0.7500  0.2246  0.8750
Sn  0.7500  0.2754  0.3750
Sn  0.7754  0.7500  0.1250
Sb  0.0000  0.0000  0.5000
Sb  0.0000  0.5000  0.7500
Sb  0.5000  0.0000  0.2500
Sb  0.5000  0.5000  0.0000

Values from the calculation:
Spin magnetization: 0.0 μB/cell
DOS(E_F): 8.80 states/eV/cell
Space group: I-42d

=====

# 2
A geometry-optimized TaSnSb2Te structure. Source: the Alexandria database, functional PBE.

abc: 5.4556 5.4556 5.4883
angles: 90.00 90.00 90.00
Fractional coordinates of all 5 atoms:
Ta  0.0000  0.0000  0.0000
Sn  0.5000  0.5000  0.5000
Sb  0.0000  0.5000  0.5000
Sb  0.5000  0.0000  0.5000
Te  0.5000  0.5000  0.0000

Values from the calculation:
Excess energy over the best structure of this formula in the dataset: 1143.0 meV/atom
Spin magnetization: 0.0 μB/cell
DOS(E_F): 7.19 states/eV/cell
Space group: P4/mmm

=====

# 3
A geometry-optimized TaSnSb2Te structure. Source: the Alexandria database, functional PBE.

abc: 5.4427 5.4427 5.3333
angles: 90.00 90.00 90.00
Fractional coordinates of all 5 atoms:
Ta  0.0000  0.0000  0.0000
Sn  0.5000  0.5000  0.5000
Sb  0.0000  0.5000  0.0000
Sb  0.5000  0.0000  0.0000
Te  0.0000  0.0000  0.5000

Values from the calculation:
Excess energy over the best structure of this formula in the dataset: 10.1 meV/atom
Spin magnetization: 0.0 μB/cell
DOS(E_F): 3.62 states/eV/cell
Space group: P4/mmm

=====

# 4
A geometry-optimized TaSnSb2Te structure. Source: the Alexandria database, functional PBE.

abc: 5.3343 5.3343 5.5159
angles: 90.00 90.00 90.00
Fractional coordinates of all 5 atoms:
Ta  0.0000  0.0000  0.0000
Sn  0.0000  0.0000  0.5000
Sb  0.0000  0.5000  0.0000
Sb  0.5000  0.0000  0.0000
Te  0.5000  0.5000  0.5000

Values from the calculation:
Excess energy over the best structure of this formula in the dataset: 0.0 meV/atom
Spin magnetization: 0.0 μB/cell
DOS(E_F): 7.58 states/eV/cell
Space group: P4/mmm

=====

# 5
A geometry-optimized Zr2TaSnSb structure. Source: the Alexandria database, functional PBE.

abc: 5.2358 5.2358 5.3709
angles: 90.00 90.00 90.00
Fractional coordinates of all 5 atoms:
Zr  0.0000  0.5000  0.0000
Zr  0.5000  0.0000  0.0000
Ta  0.0000  0.0000  0.5000
Sn  0.5000  0.5000  0.5000
Sb  0.5000  0.5000  0.0000

Values from the calculation:
Spin magnetization: 0.0 μB/cell
DOS(E_F): 3.87 states/eV/cell
Space group: P4/mmm

=====

# 6
A geometry-optimized ZrTaSn2Sb structure. Source: the Alexandria database, functional PBE.

abc: 5.4484 5.4484 5.3095
angles: 90.00 90.00 90.00
Fractional coordinates of all 5 atoms:
Zr  0.0000  0.0000  0.0000
Ta  0.5000  0.5000  0.0000
Sn  0.0000  0.5000  0.5000
Sn  0.5000  0.0000  0.5000
Sb  0.0000  0.0000  0.5000

Values from the calculation:
Spin magnetization: 1.5 μB/cell
DOS(E_F): 6.21 states/eV/cell
Space group: P4/mmm

=====

# 7
A geometry-optimized Tb8SnSb5 structure. Source: the Alexandria database, functional PBE.

abc: 8.0119 8.0119 8.0119
angles: 109.45 109.45 109.51
Fractional coordinates of all 14 atoms:
Tb  0.1253  0.2312  0.7515
Tb  0.1254  0.7314  0.7495
Tb  0.2686  0.0180  0.3939
Tb  0.4797  0.3738  0.2485
Tb  0.6241  0.8746  0.6061
Tb  0.6262  0.8747  0.1059
Tb  0.7688  0.5203  0.8941
Tb  0.9820  0.3759  0.2505
Sn  0.0000  0.0000  0.0000
Sb  0.2506  0.6255  0.1250
Sb  0.3745  0.4995  0.6251
Sb  0.5005  0.1256  0.8750
Sb  0.7500  0.2500  0.5000
Sb  0.8744  0.7494  0.3749

Values from the calculation:
Spin magnetization: 0.0 μB/cell
DOS(E_F): 14.88 states/eV/cell
Space group: I-4

=====

# 8
A geometry-optimized Tb3SnSb2 structure. Source: the Alexandria database, functional PBE.

abc: 7.6679 7.6679 7.5131
angles: 99.75 99.75 119.57
Fractional coordinates of all 12 atoms:
Tb  0.0000  0.5000  0.5000
Tb  0.1610  0.3306  0.0016
Tb  0.3306  0.1610  0.5016
Tb  0.5000  0.0000  0.0000
Tb  0.6694  0.8390  0.4984
Tb  0.8390  0.6694  0.9984
Sn  0.4171  0.5829  0.7500
Sn  0.5829  0.4171  0.2500
Sb  0.0833  0.9167  0.7500
Sb  0.2500  0.7500  0.2500
Sb  0.7500  0.2500  0.7500
Sb  0.9167  0.0833  0.2500

Values from the calculation:
Spin magnetization: 0.0 μB/cell
DOS(E_F): 5.43 states/eV/cell
Space group: C2/c

=====

Number 1: total energy -82.66 eV/cell, raw formation energy 320 kJ/mol of formula units, ρ 6.35 g/cm³. Number 2: total energy -19.51 eV/cell, raw formation energy 746 kJ/mol of formula units, ρ 6.82 g/cm³. Number 3: total energy -25.18 eV/cell, raw formation energy 199 kJ/mol of formula units, ρ 7.05 g/cm³. Number 4: total energy -25.23 eV/cell, raw formation energy 194 kJ/mol of formula units, ρ 7.10 g/cm³. Number 5: total energy -30.34 eV/cell, raw formation energy 650 kJ/mol of formula units, ρ 6.81 g/cm³. Number 6: total energy -24.89 eV/cell, raw formation energy 737 kJ/mol of formula units, ρ 6.65 g/cm³. Number 7: total energy -75.17 eV/cell, raw formation energy -1304 kJ/mol of formula units, ρ 8.38 g/cm³. Number 8: total energy -63.47 eV/cell, raw formation energy -540 kJ/mol of formula units, ρ 7.70 g/cm³.